Entry from the Alexandria database: a relaxed structure of Li4VP6O18 (GGA+U).

V: 386.0 Å³/cell
N(E_F): 0.000 states/eV/atom
final energy: -200.1 eV for the cell shown

Cell: 7.3447 8.5057 7.6005 Å, 104.75 113.62 104.50°
Closest atoms and distances in Å follow each position.
Positions (direct):
Li (0.3753, 0.1251, 0.5312)  4 O 1.97-2.15
Li (0.4491, 0.6258, 0.0427)  3 O 1.96-1.99
Li (0.6184, 0.8820, 0.4576)  5 O 2.08-2.22
Li (0.1993, 0.8342, 0.0798)  4 O 2.07-2.20
V (0.7863, 0.1626, 0.9248)  5 O 2.12-2.17
P (0.0405, 0.2151, 0.6604)  4 O 1.48-1.63
P (0.6637, 0.1936, 0.3078)  4 O 1.49-1.63
P (0.8348, 0.4540, 0.7197)  4 O 1.48-1.65
P (0.1760, 0.5426, 0.2755)  4 O 1.49-1.62
P (0.3352, 0.7909, 0.6909)  4 O 1.49-1.63
P (0.9676, 0.7764, 0.3388)  4 O 1.49-1.64
O (0.9089, 0.0860, 0.7137)  1 P 1.52
O (0.4944, 0.0578, 0.3180)  1 P 1.51
O (0.8923, 0.1731, 0.4141)  2 P 1.62-1.63
O (0.2606, 0.2315, 0.7025)  1 P 1.48
O (0.6896, 0.3228, 0.7593)  1 P 1.52
O (0.0537, 0.4124, 0.7709)  2 P 1.63-1.65
O (0.6266, 0.1977, 0.1018)  1 P 1.49
O (0.1031, 0.3469, 0.1710)  1 P 1.49
O (0.7204, 0.3917, 0.4657)  2 P 1.63
O (0.2896, 0.6001, 0.5272)  2 P 1.62-1.63
O (0.9052, 0.6475, 0.8259)  1 P 1.48
O (0.3786, 0.7781, 0.8945)  1 P 1.49
O (0.9610, 0.5834, 0.2257)  2 P 1.62-1.63
O (0.3227, 0.6647, 0.2294)  1 P 1.51
O (0.7420, 0.7530, 0.2915)  1 P 1.49
O (0.1063, 0.8084, 0.5848)  2 P 1.61-1.64
O (0.5028, 0.9312, 0.6817)  1 P 1.52
O (0.0960, 0.9115, 0.2933)  1 P 1.50

Entry from the Alexandria database: a relaxed structure of Li5V4P6O24 (GGA+U).

V: 932.5 Å³/cell
final energy: -559.0 eV for the cell shown

Cell: 8.6964 8.7357 12.2752 Å, 90.00 89.92 90.00°
Closest atoms and distances in Å follow each position.
Positions (direct):
Li (0.0784, 0.1774, 0.2968)  4 O 2.02-2.26
Li (0.2167, 0.4780, 0.8168)  4 O 1.95-1.99
Li (0.2874, 0.9822, 0.6823)  4 O 1.92-2.05
Li (0.4129, 0.0384, 0.2518)  4 O 2.01-2.21
Li (0.3359, 0.5924, 0.1735)  3 O 1.93-2.05
Li (0.5784, 0.8227, 0.7968)  3 O 2.01-2.18
Li (0.7167, 0.5221, 0.3168)  4 O 1.95-2.00
Li (0.7874, 0.0176, 0.1824)  4 O 1.92-2.05
Li (0.9131, 0.9616, 0.7518)  4 O 2.01-2.21
Li (0.8354, 0.4079, 0.6734)  3 O 1.93-2.04
V (0.2520, 0.2208, 0.1113)  6 O 1.96-2.14
V (0.2504, 0.7151, 0.3890)  6 O 1.89-2.04
V (0.2515, 0.2916, 0.6146)  6 O 1.96-2.07
V (0.2497, 0.7921, 0.8880)  6 O 1.99-2.10
V (0.7516, 0.7085, 0.1146)  6 O 1.96-2.07
V (0.7497, 0.2078, 0.3879)  6 O 1.99-2.10
V (0.7520, 0.7792, 0.6113)  6 O 1.96-2.14
V (0.7504, 0.2849, 0.8889)  6 O 1.89-2.04
P (0.0422, 0.9985, 0.5042)  4 O 1.54-1.55
P (0.1109, 0.8581, 0.1525)  4 O 1.53-1.57
P (0.1053, 0.1511, 0.8543)  4 O 1.51-1.57
P (0.3977, 0.3614, 0.3564)  4 O 1.51-1.57
P (0.3939, 0.6523, 0.6460)  4 O 1.54-1.57
P (0.4671, 0.5061, 0.9948)  4 O 1.54-1.55
P (0.5422, 0.0015, 0.0042)  4 O 1.54-1.55
P (0.6053, 0.8490, 0.3543)  4 O 1.51-1.57
P (0.6108, 0.1419, 0.6525)  4 O 1.53-1.57
P (0.8938, 0.3476, 0.1460)  4 O 1.54-1.57
P (0.8977, 0.6386, 0.8564)  4 O 1.51-1.56
P (0.9671, 0.4939, 0.4948)  4 O 1.54-1.55
O (0.0448, 0.3788, 0.5723)  1 P 1.54
O (0.0699, 0.3479, 0.1589)  1 P 1.54
O (0.0824, 0.5887, 0.4275)  1 P 1.54
O (0.0748, 0.6535, 0.8435)  1 P 1.55
O (0.1299, 0.8898, 0.4266)  1 P 1.55
O (0.1713, 0.8173, 0.0394)  1 P 1.53
O (0.1573, 0.0250, 0.1857)  1 P 1.57
O (0.1714, 0.2687, 0.7731)  1 P 1.54
O (0.1486, 0.9854, 0.8171)  1 P 1.56
O (0.1626, 0.0844, 0.5732)  1 P 1.54
O (0.1590, 0.1873, 0.9680)  1 P 1.51
O (0.1868, 0.7404, 0.2329)  1 P 1.57
O (0.3182, 0.2448, 0.2780)  1 P 1.56
O (0.3450, 0.7002, 0.5299)  1 P 1.55
O (0.3597, 0.5866, 0.9134)  1 P 1.54
O (0.3254, 0.4954, 0.6766)  1 P 1.54
O (0.3585, 0.5299, 0.3234)  1 P 1.57
O (0.3457, 0.3290, 0.4718)  1 P 1.51
O (0.3344, 0.7767, 0.7279)  1 P 1.57
O (0.3672, 0.4082, 0.0730)  1 P 1.55
O (0.4376, 0.0848, 0.0868)  1 P 1.54
O (0.4251, 0.8481, 0.3455)  1 P 1.57
O (0.4338, 0.1543, 0.6617)  1 P 1.55
O (0.4537, 0.8933, 0.9259)  1 P 1.55
O (0.5449, 0.6211, 0.0723)  1 P 1.54
O (0.5748, 0.3465, 0.3435)  1 P 1.55
O (0.5700, 0.6519, 0.6588)  1 P 1.54
O (0.5823, 0.4111, 0.9275)  1 P 1.54
O (0.6300, 0.1101, 0.9265)  1 P 1.55
O (0.6715, 0.7313, 0.2731)  1 P 1.54
O (0.6712, 0.1827, 0.5394)  1 P 1.53
O (0.6571, 0.9750, 0.6856)  1 P 1.57
O (0.6486, 0.0146, 0.3172)  1 P 1.56
O (0.6626, 0.9157, 0.0732)  1 P 1.54
O (0.6590, 0.8128, 0.4680)  1 P 1.51
O (0.6867, 0.2596, 0.7329)  1 P 1.57
O (0.8183, 0.7553, 0.7779)  1 P 1.56
O (0.8450, 0.2998, 0.0299)  1 P 1.55
O (0.8596, 0.4134, 0.4134)  1 P 1.54
O (0.8254, 0.5046, 0.1765)  1 P 1.54
O (0.8342, 0.2232, 0.2278)  1 P 1.57
O (0.8584, 0.4701, 0.8233)  1 P 1.56
O (0.8457, 0.6711, 0.9718)  1 P 1.51
O (0.8672, 0.5918, 0.5729)  1 P 1.55
O (0.9339, 0.8458, 0.1617)  1 P 1.55
O (0.9376, 0.9154, 0.5869)  1 P 1.54
O (0.9251, 0.1519, 0.8455)  1 P 1.57
O (0.9537, 0.1067, 0.4258)  1 P 1.55

Entry from the Alexandria database: a relaxed structure of LiVP2O7 (GGA+U).

V: 295.4 Å³/cell
N(E_F): 0.000 states/eV/atom
final energy: -158.7 eV for the cell shown

Cell: 6.2113 8.4505 5.8566 Å, 90.00 106.07 90.00°
Closest atoms and distances in Å follow each position.
Positions (direct):
Li (0.0578, 0.4559, 0.7777)  3 O 1.90-2.08
Li (0.9422, 0.9559, 0.2223)  3 O 1.90-2.08
V (0.2360, 0.8336, 0.6207)  6 O 1.98-2.21
V (0.7640, 0.3336, 0.3793)  6 O 1.98-2.21
P (0.2994, 0.2223, 0.5051)  4 O 1.52-1.62
P (0.3006, 0.7621, 0.0792)  4 O 1.52-1.61
P (0.6994, 0.2621, 0.9208)  4 O 1.52-1.61
P (0.7006, 0.7223, 0.4950)  4 O 1.52-1.62
O (0.8353, 0.2581, 0.7404)  1 P 1.52
O (0.2328, 0.6409, 0.8759)  1 P 1.54
O (0.2187, 0.0516, 0.4589)  1 P 1.53
O (0.1041, 0.3385, 0.4819)  1 P 1.54
O (0.5501, 0.7749, 0.6466)  1 P 1.52
O (0.7112, 0.4220, 0.0534)  1 P 1.55
O (0.4395, 0.2328, 0.7819)  2 P 1.61-1.62
O (0.5605, 0.7328, 0.2181)  2 P 1.61-1.62
O (0.2888, 0.9220, 0.9466)  1 P 1.55
O (0.4499, 0.2749, 0.3535)  1 P 1.52
O (0.8959, 0.8385, 0.5181)  1 P 1.54
O (0.7813, 0.5516, 0.5411)  1 P 1.53
O (0.7672, 0.1409, 0.1241)  1 P 1.54
O (0.1647, 0.7581, 0.2596)  1 P 1.52

Entry from the Alexandria database: a relaxed structure of Li2VP2O8 (GGA+U).

V: 453.3 Å³/cell
N(E_F): 0.180 states/eV/atom
energy above the lowest structure with this stoichiometry: 0.79 kcal/mol of atoms

Cell: 8.4379 8.4379 7.3512 Å, 90.00 90.00 120.00°
Closest atoms and distances in Å follow each position.
Positions (direct):
Li (0.9579, 0.3051, 0.6319)  3 O 1.96-2.11
Li (0.3472, 0.0421, 0.6319)  3 O 1.96-2.11
Li (0.3051, 0.3472, 0.3681)  3 O 1.96-2.11
Li (0.6949, 0.6528, 0.6319)  3 O 1.96-2.11
Li (0.6528, 0.9579, 0.3681)  3 O 1.96-2.11
Li (0.0421, 0.6949, 0.3681)  3 O 1.96-2.11
V (0.0000, 0.0000, 0.0000)  6 O 1.96
V (0.6667, 0.3333, 0.9207)  6 O 1.88-2.05
V (0.3333, 0.6667, 0.0793)  6 O 1.88-2.05
P (0.9613, 0.3108, 0.2191)  4 O 1.52-1.57
P (0.3496, 0.0387, 0.2191)  4 O 1.52-1.57
P (0.3108, 0.3496, 0.7809)  4 O 1.52-1.57
P (0.6892, 0.6504, 0.2191)  4 O 1.52-1.57
P (0.6504, 0.9613, 0.7809)  4 O 1.52-1.57
P (0.0387, 0.6892, 0.7809)  4 O 1.52-1.57
O (0.8565, 0.0636, 0.8379)  1 P 1.56
O (0.8495, 0.2257, 0.3899)  1 P 1.52
O (0.6033, 0.1170, 0.7497)  1 P 1.57
O (0.8386, 0.3046, 0.0590)  1 P 1.55
O (0.4660, 0.1614, 0.0590)  1 P 1.55
O (0.3761, 0.1505, 0.3899)  1 P 1.52
O (0.8830, 0.4863, 0.7497)  1 P 1.57
O (0.2071, 0.1435, 0.8379)  1 P 1.56
O (0.5137, 0.3967, 0.7497)  1 P 1.57
O (0.0636, 0.2071, 0.1621)  1 P 1.56
O (0.6954, 0.5340, 0.0590)  1 P 1.55
O (0.7743, 0.6239, 0.3899)  1 P 1.52
O (0.2257, 0.3761, 0.6101)  1 P 1.52
O (0.3046, 0.4660, 0.9410)  1 P 1.55
O (0.9364, 0.7929, 0.8379)  1 P 1.56
O (0.4863, 0.6033, 0.2503)  1 P 1.57
O (0.7929, 0.8565, 0.1621)  1 P 1.56
O (0.1170, 0.5137, 0.2503)  1 P 1.57
O (0.6239, 0.8495, 0.6101)  1 P 1.52
O (0.5340, 0.8386, 0.9410)  1 P 1.55
O (0.1614, 0.6954, 0.9410)  1 P 1.55
O (0.3967, 0.8830, 0.2503)  1 P 1.57
O (0.1505, 0.7743, 0.6101)  1 P 1.52
O (0.1435, 0.9364, 0.1621)  1 P 1.56

Entry from the Alexandria database: a relaxed structure of LiVP2O7 (GGA+U).

V: 576.4 Å³/cell
N(E_F): 0.000 states/eV/atom
final energy: -318.1 eV for the cell shown

Cell: 10.1611 7.3963 8.2214 Å, 68.88 90.00 90.00°
Closest atoms and distances in Å follow each position.
Positions (direct):
Li (0.1936, 0.4887, 0.9474)  4 O 2.05-2.21
Li (0.3064, 0.4887, 0.4474)  4 O 2.05-2.21
Li (0.6936, 0.5113, 0.5526)  4 O 2.05-2.21
Li (0.8064, 0.5113, 0.0526)  4 O 2.05-2.21
V (0.6072, 0.7393, 0.7457)  6 O 1.99-2.15
V (0.8928, 0.7393, 0.2457)  6 O 1.99-2.15
V (0.1072, 0.2607, 0.7543)  6 O 1.99-2.15
V (0.3928, 0.2607, 0.2543)  6 O 1.99-2.15
P (0.8595, 0.9530, 0.8005)  4 O 1.51-1.65
P (0.6405, 0.9530, 0.3005)  4 O 1.51-1.65
P (0.9150, 0.6373, 0.6880)  4 O 1.52-1.61
P (0.5850, 0.6373, 0.1880)  4 O 1.52-1.61
P (0.4150, 0.3627, 0.8120)  4 O 1.52-1.61
P (0.0850, 0.3627, 0.3120)  4 O 1.52-1.61
P (0.3595, 0.0470, 0.6995)  4 O 1.51-1.65
P (0.1405, 0.0470, 0.1995)  4 O 1.51-1.65
O (0.7162, 0.9729, 0.7396)  1 P 1.53
O (0.8727, 0.8067, 0.9888)  1 P 1.54
O (0.4256, 0.8534, 0.7329)  1 P 1.51
O (0.9416, 0.8542, 0.6811)  2 P 1.61-1.65
O (0.7838, 0.9729, 0.2396)  1 P 1.53
O (0.6273, 0.8067, 0.4888)  1 P 1.54
O (0.6060, 0.6348, 0.0052)  1 P 1.52
O (0.0744, 0.8534, 0.2329)  1 P 1.51
O (0.5584, 0.8542, 0.1811)  2 P 1.61-1.65
O (0.7848, 0.5697, 0.7902)  1 P 1.55
O (0.8940, 0.6348, 0.5052)  1 P 1.52
O (0.0333, 0.5157, 0.7789)  1 P 1.53
O (0.5333, 0.4843, 0.7211)  1 P 1.53
O (0.7152, 0.5697, 0.2902)  1 P 1.55
O (0.2848, 0.4303, 0.7098)  1 P 1.55
O (0.4667, 0.5157, 0.2789)  1 P 1.53
O (0.9667, 0.4843, 0.2211)  1 P 1.53
O (0.1060, 0.3652, 0.4948)  1 P 1.52
O (0.2152, 0.4303, 0.2098)  1 P 1.55
O (0.4416, 0.1458, 0.8189)  2 P 1.61-1.65
O (0.9256, 0.1466, 0.7671)  1 P 1.51
O (0.3940, 0.3652, 0.9948)  1 P 1.52
O (0.3727, 0.1933, 0.5112)  1 P 1.54
O (0.2162, 0.0271, 0.7604)  1 P 1.53
O (0.0584, 0.1458, 0.3189)  2 P 1.61-1.65
O (0.5744, 0.1466, 0.2671)  1 P 1.51
O (0.1273, 0.1933, 0.0112)  1 P 1.54
O (0.2838, 0.0271, 0.2604)  1 P 1.53